This record from Alexandria via LeMat-Bulk describes a relaxed structure of Y5Pd2Ru. The functional is PBE-GGA.

Values from the calculation:
Magnetization = 0.0 μB/cell
Formation enthalpy at 0 K = -0.571 eV/atom

a = 7.8272 Å, b = 11.9553 Å, c = 4.2780 Å
α = 90.00°, β = 90.00°, γ = 90.00°
Fractional positions:
Y 0.0000 0.0000 0.0000
Y 0.1587 0.2993 0.0000
Y 0.1794 0.5853 0.5000
Y 0.3206 0.0853 0.5000
Y 0.3414 0.7993 0.0000
Y 0.5000 0.5000 0.0000
Y 0.6586 0.2007 0.0000
Y 0.6794 0.9147 0.5000
Y 0.8206 0.4147 0.5000
Y 0.8414 0.7007 0.0000
Pd 0.0520 0.8303 0.5000
Pd 0.4480 0.3303 0.5000
Pd 0.5520 0.6697 0.5000
Pd 0.9480 0.1697 0.5000
Ru 0.0000 0.5000 0.0000
Ru 0.5000 0.0000 0.0000